## ErMnBO4 (PBE with a Hubbard U)

Data for ErMnBO4 after structural relaxation.

Cell lengths 5.7764, 5.7764, 5.7764 Å; angles 120.26, 117.88, 91.63 degrees
Last column: nearest neighbours and their distance in Å.
Sites, in units of the cell vectors:
Er: 0.0000 0.0000 0.0000  6 O 2.22
Er: 0.5000 0.0000 0.5000  6 O 2.22
Mn: 0.5000 0.0000 0.0000  6 O 2.08-2.23
Mn: 0.5000 0.5000 0.5000  6 O 2.08-2.23
B: 0.1373 0.3873 0.7500  4 O 1.50-1.58
B: 0.8627 0.6127 0.2500  4 O 1.50-1.58
O: 0.1922 0.7251 0.4671  1 B 1.58
O: 0.2421 0.2749 0.9671  1 B 1.58
O: 0.2430 0.2783 0.5354  1 B 1.50
O: 0.2430 0.7076 0.9646  1 B 1.50
O: 0.7570 0.2924 0.0354  1 B 1.50
O: 0.7570 0.7217 0.4646  1 B 1.50
O: 0.7579 0.7251 0.0329  1 B 1.58
O: 0.8078 0.2749 0.5329  1 B 1.58

## Properties
Symmetry: No. 74
Spin magnetization (μB/atom): 0.143
DFT total energy (eV per atom): -7.47